The following is a DFT calculation (PBE) of a geometry-optimized Sr2PBr structure.

Properties
For the uncorrected formation energy, the calculation gives -1335 meV/atom.

abc: 5.3963 5.3963 5.3963
angles: 60.00 60.00 60.00
Positions (direct):
Sr (0.2500, 0.2500, 0.2500)
Sr (0.7500, 0.7500, 0.7500)
Br (0.5000, 0.5000, 0.5000)
P (0.0000, 0.0000, 0.0000)